DFT (PBE) results for a relaxed structure of Mg2ZrRu.

Calculated values
- offset from the most stable computed form (meV per atom) = 294.9
- total moment (μB per atom) = 0.0992
- theoretical density (g/cm3) = 5.36
- energy of formation (kJ/mol of atoms) = 9.6

Cell lengths 5.4199, 5.4199, 2.9355 Å; angles 90.00, 90.00, 119.98 degrees
Last column: nearest neighbours and their distance in Å.
Fractional coordinates of all 4 atoms:
Mg: 0.0000 0.5000 0.0000  4 Mg 2.71-2.94
Mg: 0.5000 0.0000 0.0000  4 Mg 2.71-2.94
Zr: 0.0000 0.0000 0.5000  2 Ru 2.71, 2 Zr 2.94
Ru: 0.5000 0.5000 0.5000  2 Zr 2.71, 2 Ru 2.94

---

DFT (PBE) results for a relaxed structure of LiReSe2.

Calculated values
- offset from the most stable computed form (meV per atom) = 461.3
- total moment (μB per atom) = 0.0000
- theoretical density (g/cm3) = 7.83
- energy relative to the elements, uncorrected (eV per atom) = 0.2196

Cell lengths 2.8462, 2.8462, 9.9619 Å; angles 90.00, 90.00, 112.70 degrees
Last column: nearest neighbours and their distance in Å.
Fractional coordinates of all 4 atoms:
Li: 0.0000 0.0000 0.0000  2 Se 2.57, 4 Li 2.85, 2 Re 2.85
Re: 0.5000 0.5000 0.7621  2 Se 2.50
Se: 0.0000 0.0000 0.5673  2 Re 2.50
Se: 0.5000 0.5000 0.2042  2 Li 2.57, 4 Se 2.85

---

DFT (PBE) results for a relaxed structure of Y12Co5Pb.

Calculated values
- total moment (μB per atom) = 0.0015
- theoretical density (g/cm3) = 5.84
- energy of formation (kJ/mol of atoms) = -24.5

Cell lengths 8.3418, 8.3418, 8.3418 Å; angles 110.85, 110.56, 107.03 degrees
Last column: nearest neighbours and their distance in Å.
Fractional coordinates of all 18 atoms:
Y: 0.0128 0.2066 0.8062  2 Co 2.71-2.75
Y: 0.1854 0.2915 0.4769  2 Co 2.86
Y: 0.1854 0.7085 0.8939  2 Co 2.86
Y: 0.3125 0.0065 0.6940  3 Co 2.72-2.85
Y: 0.3125 0.6185 0.3060  3 Co 2.72-2.85
Y: 0.4003 0.2066 0.1938  2 Co 2.71-2.75
Y: 0.5997 0.7934 0.8062  2 Co 2.71-2.75
Y: 0.6875 0.3815 0.6940  3 Co 2.72-2.85
Y: 0.6875 0.9935 0.3060  3 Co 2.72-2.85
Y: 0.8146 0.2915 0.1061  2 Co 2.86
Y: 0.8146 0.7085 0.5231  2 Co 2.86
Y: 0.9872 0.7934 0.1938  2 Co 2.71-2.75
Co: 0.0000 0.0000 0.0000  4 Y 2.75
Co: 0.1108 0.6108 0.5000  1 Co 2.20
Co: 0.3809 0.0000 0.3809  1 Co 2.26
Co: 0.6191 0.0000 0.6191  1 Co 2.26
Co: 0.8892 0.3892 0.5000  1 Co 2.20
Pb: 0.5000 0.5000 0.0000  12 Y 3.44-3.58

---

DFT (PBE) results for a relaxed structure of Ce2NdC.

Calculated values
- offset from the most stable computed form (meV per atom) = 0.0
- total moment (μB per atom) = 0.1704
- theoretical density (g/cm3) = 7.18
- energy of formation (kJ/mol of atoms) = -6.7

Cell lengths 9.3685, 9.3685, 9.3685 Å; angles 21.97, 21.97, 21.97 degrees
Last column: nearest neighbours and their distance in Å.
Fractional coordinates of all 4 atoms:
Ce: 0.0000 0.0000 0.0000  3 C 2.49
Ce: 0.2289 0.2289 0.2289  3 C 2.53
Nd: 0.4504 0.4504 0.4504  6 Nd 3.57, 6 Ce 3.69-3.81
C: 0.6157 0.6157 0.6157  6 Ce 2.49-2.53

---

DFT (PBE) results for a relaxed structure of AcTb2Y3.

Calculated values
- offset from the most stable computed form (meV per atom) = 0.0
- total moment (μB per atom) = 0.0000
- theoretical density (g/cm3) = 6.58
- energy of formation (kJ/mol of atoms) = 9.6

Cell lengths 6.7928, 6.7928, 9.1056 Å; angles 98.08, 98.08, 94.95 degrees
Last column: nearest neighbours and their distance in Å.
Fractional coordinates of all 12 atoms:
Ac: 0.0791 0.9209 0.7500  5 Y 3.41-3.61, 6 Tb 3.77-3.80
Ac: 0.9209 0.0791 0.2500  5 Y 3.41-3.61, 6 Tb 3.77-3.80
Tb: 0.1300 0.6220 0.3738  2 Tb 3.52-3.59, 9 Y 3.64-3.89, 3 Ac 3.77-3.80
Tb: 0.3780 0.8700 0.1262  2 Tb 3.52-3.59, 9 Y 3.64-3.89, 3 Ac 3.77-3.80
Tb: 0.6220 0.1300 0.8738  2 Tb 3.52-3.59, 9 Y 3.64-3.89, 3 Ac 3.77-3.80
Tb: 0.8700 0.3780 0.6262  2 Tb 3.52-3.59, 9 Y 3.64-3.89, 3 Ac 3.77-3.80
Y: 0.1743 0.3500 0.0048  3 Y 3.25-3.50, 2 Ac 3.41-3.61, 1 Tb 3.64
Y: 0.3500 0.1743 0.5048  3 Y 3.25-3.50, 2 Ac 3.41-3.61, 1 Tb 3.64
Y: 0.4194 0.5806 0.7500  4 Y 3.25-3.50, 1 Ac 3.41
Y: 0.5806 0.4194 0.2500  4 Y 3.25-3.50, 1 Ac 3.41
Y: 0.6500 0.8257 0.4952  3 Y 3.25-3.50, 2 Ac 3.41-3.61, 1 Tb 3.64
Y: 0.8257 0.6500 0.9952  3 Y 3.25-3.50, 2 Ac 3.41-3.61, 1 Tb 3.64

---

DFT (PBE) results for a relaxed structure of TmPuPt2.

Calculated values
- total moment (μB per atom) = 1.4169
- theoretical density (g/cm3) = 15.84
- energy of formation (kJ/mol of atoms) = -96.5

Cell lengths 3.4224, 3.4224, 7.1881 Å; angles 90.00, 90.00, 90.00 degrees
Last column: nearest neighbours and their distance in Å.
Fractional coordinates of all 4 atoms:
Tm: 0.0000 0.0000 0.0000  8 Pt 2.94
Pu: 0.0000 0.0000 0.5000  8 Pt 3.10, 4 Pu 3.42
Pt: 0.5000 0.5000 0.2313  4 Tm 2.94, 4 Pu 3.10
Pt: 0.5000 0.5000 0.7687  4 Tm 2.94, 4 Pu 3.10

---

DFT (PBE) results for a relaxed structure of Na3CaZn8.

Calculated values
- total moment (μB per atom) = 0.0000
- theoretical density (g/cm3) = 4.51
- energy of formation (kJ/mol of atoms) = -9.5

Cell lengths 9.6775, 9.6775, 9.6775 Å; angles 32.52, 32.52, 32.52 degrees
Last column: nearest neighbours and their distance in Å.
Fractional coordinates of all 12 atoms:
Na: 0.0000 0.0000 0.0000  12 Zn 3.18-3.24, 4 Na 3.30-3.37
Na: 0.1228 0.1228 0.1228  12 Zn 3.16-3.34, 3 Ca 3.36, 1 Na 3.37
Na: 0.6279 0.6279 0.6279  12 Zn 3.17-3.24, 3 Na 3.30, 1 Ca 3.49
Ca: 0.5009 0.5009 0.5009  12 Zn 3.18-3.26, 4 Na 3.36-3.49
Zn: 0.0641 0.0641 0.5623  6 Zn 2.70-2.80
Zn: 0.0641 0.5623 0.0641  6 Zn 2.70-2.80
Zn: 0.0636 0.5632 0.5632  6 Zn 2.71-2.77
Zn: 0.3135 0.3135 0.3135  6 Zn 2.77
Zn: 0.5623 0.0641 0.0641  6 Zn 2.70-2.80
Zn: 0.5632 0.0636 0.5632  6 Zn 2.71-2.77
Zn: 0.5632 0.5632 0.0636  6 Zn 2.71-2.77
Zn: 0.8126 0.8126 0.8126  6 Zn 2.76-2.80

---

DFT (PBE) results for a relaxed structure of Er5Ni4Ru.

Calculated values
- total moment (μB per atom) = 0.0000
- theoretical density (g/cm3) = 10.34
- energy of formation (kJ/mol of atoms) = -43.2

Cell lengths 3.3510, 3.3510, 16.7548 Å; angles 90.00, 90.00, 90.00 degrees
Last column: nearest neighbours and their distance in Å.
Fractional coordinates of all 10 atoms:
Er: 0.0000 0.0000 0.0000  8 Ni 2.90
Er: 0.0000 0.0000 0.1992  8 Ni 2.89
Er: 0.0000 0.0000 0.4005  4 Ru 2.90, 4 Ni 2.93
Er: 0.0000 0.0000 0.5995  4 Ru 2.90, 4 Ni 2.93
Er: 0.0000 0.0000 0.8008  8 Ni 2.89
Ni: 0.5000 0.5000 0.1002  8 Er 2.89-2.90
Ni: 0.5000 0.5000 0.2976  8 Er 2.89-2.93
Ni: 0.5000 0.5000 0.7024  8 Er 2.89-2.93
Ni: 0.5000 0.5000 0.8998  8 Er 2.89-2.90
Ru: 0.5000 0.5000 0.5000  8 Er 2.90

---

DFT (PBE) results for a relaxed structure of Sr2Li12Mg3Ag.

Calculated values
- total moment (μB per atom) = 0.0000
- theoretical density (g/cm3) = 1.63
- energy of formation (kJ/mol of atoms) = 10.3

Cell lengths 11.5696, 11.5696, 11.5696 Å; angles 34.72, 34.72, 34.72 degrees
Last column: nearest neighbours and their distance in Å.
Fractional coordinates of all 18 atoms:
Sr: 0.1500 0.1500 0.1500  12 Li 3.60-3.86, 3 Ag 4.02
Sr: 0.8500 0.8500 0.8500  12 Li 3.60-3.86, 3 Ag 4.02
Li: 0.0801 0.0801 0.6890  4 Li 2.70-2.83, 2 Mg 2.78
Li: 0.0801 0.6890 0.0801  4 Li 2.70-2.83, 2 Mg 2.78
Li: 0.1493 0.5718 0.5718  1 Ag 2.81, 4 Li 2.83-2.92
Li: 0.3110 0.9199 0.9199  4 Li 2.70-2.83, 2 Mg 2.78
Li: 0.4282 0.4282 0.8507  1 Ag 2.81, 4 Li 2.83-2.92
Li: 0.4282 0.8507 0.4282  1 Ag 2.81, 4 Li 2.83-2.92
Li: 0.5718 0.1493 0.5718  1 Ag 2.81, 4 Li 2.83-2.92
Li: 0.5718 0.5718 0.1493  1 Ag 2.81, 4 Li 2.83-2.92
Li: 0.6890 0.0801 0.0801  4 Li 2.70-2.83, 2 Mg 2.78
Li: 0.8507 0.4282 0.4282  1 Ag 2.81, 4 Li 2.83-2.92
Li: 0.9199 0.3110 0.9199  4 Li 2.70-2.83, 2 Mg 2.78
Li: 0.9199 0.9199 0.3110  4 Li 2.70-2.83, 2 Mg 2.78
Mg: 0.0000 0.5000 0.5000  4 Li 2.78
Mg: 0.5000 0.0000 0.5000  4 Li 2.78
Mg: 0.5000 0.5000 0.0000  4 Li 2.78
Ag: 0.5000 0.5000 0.5000  6 Li 2.81

---

DFT (PBE) results for a relaxed structure of MoAuCl2.

Calculated values
- offset from the most stable computed form (meV per atom) = 534.6
- total moment (μB per atom) = 0.0000
- theoretical density (g/cm3) = 8.34
- energy relative to the elements, uncorrected (eV per atom) = 0.3405

Cell lengths 2.9492, 4.2836, 5.7450 Å; angles 90.00, 93.57, 90.00 degrees
Last column: nearest neighbours and their distance in Å.
Fractional coordinates of all 4 atoms:
Mo: 0.0000 0.0000 0.0000  4 Cl 2.53
Au: 0.5000 0.0000 0.5000  4 Cl 2.84, 2 Au 2.95, 2 Mo 3.15
Cl: 0.1112 0.5000 0.2317  2 Mo 2.53, 1 Cl 2.70
Cl: 0.8888 0.5000 0.7683  2 Mo 2.53, 1 Cl 2.70

---

DFT (PBE) results for a relaxed structure of Zr5Br.

Calculated values
- offset from the most stable computed form (meV per atom) = 0.0
- total moment (μB per atom) = 0.0000
- theoretical density (g/cm3) = 6.50
- energy relative to the elements, uncorrected (eV per atom) = 0.1284

Cell lengths 5.4875, 5.4875, 5.2505 Å; angles 90.00, 90.00, 120.00 degrees
Last column: nearest neighbours and their distance in Å.
Fractional coordinates of all 6 atoms:
Zr: 0.0000 0.6671 0.0000  10 Zr 3.16-3.20, 2 Br 3.20
Zr: 0.3329 0.3329 0.0000  10 Zr 3.16-3.20, 2 Br 3.20
Zr: 0.3333 0.6667 0.5000  3 Br 3.17, 9 Zr 3.17-3.20
Zr: 0.6671 0.0000 0.0000  10 Zr 3.16-3.20, 2 Br 3.20
Zr: 0.6667 0.3333 0.5000  3 Br 3.17, 9 Zr 3.17-3.20
Br: 0.0000 0.0000 0.5000  12 Zr 3.17-3.20

---

DFT (PBE) results for a relaxed structure of TiNbVIr.

Calculated values
- total moment (μB per atom) = 0.0000
- theoretical density (g/cm3) = 10.51
- energy of formation (kJ/mol of atoms) = -44.9

Cell lengths 4.4109, 4.4109, 4.4109 Å; angles 60.00, 60.00, 60.00 degrees
Last column: nearest neighbours and their distance in Å.
Fractional coordinates of all 4 atoms:
Ti: 0.0000 0.0000 0.0000  4 Nb 2.70, 4 Ir 2.70
Nb: 0.7500 0.7500 0.7500  4 Ti 2.70, 4 V 2.70
V: 0.5000 0.5000 0.5000  4 Nb 2.70, 4 Ir 2.70
Ir: 0.2500 0.2500 0.2500  4 Ti 2.70, 4 V 2.70